Record 1
Density functional theory data (GGA-PBE) for Ac4TcBr5 after structural relaxation.

Geometry as CIF:
```
data_Ac4TcBr5
_cell_length_a 19.946
_cell_length_b 4.422
_cell_length_c 9.493
_cell_angle_alpha 90.00
_cell_angle_beta 106.65
_cell_angle_gamma 90.00
_symmetry_space_group_name_H-M 'C 1 2/m 1'
_symmetry_Int_Tables_number 12
_symmetry_space_group_name_Hall '-C 2y'
loop_
_atom_site_label
_atom_site_type_symbol
_atom_site_fract_x
_atom_site_fract_y
_atom_site_fract_z
Ac1 Ac 0.001 0.000 0.279
Ac2 Ac 0.147 0.500 0.596
Tc1 Tc 0.000 0.500 0.500
Br1 Br 0.000 0.500 0.000
Br2 Br 0.167 0.000 0.845
Br3 Br 0.173 0.000 0.366
```

Calculated values
Mass density: 5.82 g cm⁻³
ΔE_f (raw): -1313 meV per atom
Total magnetization: 0.00 μB/f.u.

=====

Record 2
Density functional theory data (GGA-PBE) for Zr2Zn3Pt after structural relaxation.

Geometry as CIF:
```
data_Zr2Zn3Pt
_cell_length_a 3.315
_cell_length_b 4.102
_cell_length_c 16.209
_cell_angle_alpha 90.00
_cell_angle_beta 90.00
_cell_angle_gamma 90.00
_symmetry_space_group_name_H-M 'I m m 2'
_symmetry_Int_Tables_number 44
_symmetry_space_group_name_Hall 'I 2 -2'
loop_
_atom_site_label
_atom_site_type_symbol
_atom_site_fract_x
_atom_site_fract_y
_atom_site_fract_z
Zr1 Zr 0.000 0.000 0.000
Zr2 Zr 0.000 0.500 0.242
Zn1 Zn 0.000 0.000 0.586
Zn2 Zn 0.000 0.500 0.662
Zn3 Zn 0.000 0.500 0.814
Pt1 Pt 0.000 0.000 0.429
```

Calculated values
Mass density: 8.65 g cm⁻³
Total magnetization: 0.00 μB/f.u.
DFT formation energy: -0.3358 eV/atom